(1)
First-principles (PBE) data for a geometry-optimized PrAgHgRh structure, as listed in the Alexandria database.

Lattice parameters (Å, degrees): 6.9995 6.9995 6.9995 90.00 90.00 90.00
With the nearest neighbours (Å) after each atom.
Space group F-43m (No. 216)
Inequivalent atoms, fractional coordinates:
1 Pr 0.0000 0.0000 0.0000  4 Rh 3.03, 4 Ag 3.03
2 Ag 0.2500 0.2500 0.2500  4 Hg 3.03, 4 Pr 3.03
3 Hg 0.0000 0.0000 0.5000  4 Rh 3.03, 4 Ag 3.03
4 Rh 0.2500 0.2500 0.7500  4 Hg 3.03, 4 Pr 3.03

Results
Crystal system = cubic
Formation energy = -0.25 eV/atom
Energy = -4.074 eV per atom



(2)
First-principles (PBE) data for a geometry-optimized Er8IrRu2 structure, as listed in the Alexandria database.

Lattice parameters (Å, degrees): 17.2110 4.8214 6.7831 90.00 107.60 90.00
With the nearest neighbours (Å) after each atom.
Space group C2/m (No. 12)
Inequivalent atoms, fractional coordinates:
1 Er 0.0313 0.0000 0.2916  1 Ru 2.89, 2 Ir 2.93
2 Er 0.0957 0.5000 0.9502  1 Ir 3.00, 2 Ru 3.07, 6 Er 3.33-3.35
3 Er 0.1677 0.5000 0.4639  3 Ru 2.86-3.07, 1 Ir 2.97
4 Er 0.2045 0.0000 0.8138  1 Ru 2.74
5 Ir 0.0000 0.5000 0.5000  8 Er 2.93-3.00
6 Ru 0.1848 0.0000 0.1990  3 Er 2.74-2.89

Results
Crystal system = monoclinic
Offset from the most stable computed form = 0.0 meV/atom
Formation energy = -0.41 eV/atom
Energy = -6.217 eV per atom



(3)
First-principles (PBE) data for a geometry-optimized Cs2POsF6 structure, as listed in the Alexandria database.

Lattice parameters (Å, degrees): 5.8547 5.8547 11.4038 90.00 90.00 90.00
With the nearest neighbours (Å) after each atom.
Space group I4/mmm (No. 139)
Inequivalent atoms, fractional coordinates:
1 Cs 0.0000 0.5000 0.2500  4 F 3.04
2 P 0.0000 0.0000 0.0000  4 F 2.05
3 Os 0.0000 0.0000 0.5000  6 F 2.04-2.09
4 F 0.0000 0.0000 0.3211  1 Os 2.04
5 F 0.2475 0.2475 0.0000  1 P 2.05, 1 Os 2.09

Results
Crystal system = tetragonal
Energy = -4.594 eV per atom
Uncorrected formation energy = -1.636 eV per atom



(4)
First-principles (PBE) data for a geometry-optimized LaDyTm2 structure, as listed in the Alexandria database.

Lattice parameters (Å, degrees): 8.0530 8.0530 8.0530 90.00 90.00 90.00
With the nearest neighbours (Å) after each atom.
Space group Fm-3m (No. 225)
Inequivalent atoms, fractional coordinates:
1 La 0.0000 0.0000 0.0000  8 Tm 3.49
2 Dy 0.0000 0.0000 0.5000  8 Tm 3.49
3 Tm 0.2500 0.2500 0.2500  4 La 3.49, 4 Dy 3.49

Results
Crystal system = cubic
Offset from the most stable computed form = 84.4 meV/atom
Formation energy = 0.10 eV/atom
Energy = -4.520 eV per atom



(5)
First-principles (PBE) data for a geometry-optimized SrTaCl structure, as listed in the Alexandria database.

Lattice parameters (Å, degrees): 3.4067 3.4067 7.0961 90.00 90.00 120.00
With the nearest neighbours (Å) after each atom.
Space group P3m1 (No. 156)
Inequivalent atoms, fractional coordinates:
1 Sr 0.0000 0.0000 0.0000  3 Ta 3.26, 3 Cl 3.38, 6 Sr 3.41
2 Ta 0.6667 0.3333 0.3667  3 Cl 2.63
3 Cl 0.3333 0.6667 0.6130  3 Ta 2.63

Results
Crystal system = trigonal
Offset from the most stable computed form = 0.0 meV/atom
Energy = -5.018 eV per atom
Uncorrected formation energy = 0.109 eV per atom



(6)
First-principles (PBE) data for a geometry-optimized MgAs2Pd6 structure, as listed in the Alexandria database.

Lattice parameters (Å, degrees): 8.7714 4.4836 8.1022 90.00 116.35 90.00
With the nearest neighbours (Å) after each atom.
Space group C2/m (No. 12)
Inequivalent atoms, fractional coordinates:
1 Mg 0.0000 0.0000 0.0000  8 Pd 2.66-2.94
2 As 0.1703 0.5000 0.2711  6 Pd 2.47-2.62
3 Pd 0.0333 0.0000 0.6887  1 As 2.47, 1 Mg 2.66
4 Pd 0.1430 0.5000 0.9354  2 As 2.50-2.62, 2 Mg 2.73
5 Pd 0.1824 0.5000 0.5865  3 As 2.51-2.59, 1 Pd 2.81

Results
Crystal system = monoclinic
Offset from the most stable computed form = 0.0 meV/atom
Formation energy = -0.43 eV/atom
Energy = -5.101 eV per atom



(7)
First-principles (PBE) data for a geometry-optimized Ce2Co2Ni15 structure, as listed in the Alexandria database.

Lattice parameters (Å, degrees): 8.2896 8.2896 12.1662 90.00 90.00 120.00
With the nearest neighbours (Å) after each atom.
Space group R-3m (No. 166, hexagonal axes)
Inequivalent atoms, fractional coordinates:
1 Ce 0.0000 0.0000 0.1601  18 Ni 2.93-3.19, 1 Co 3.00
2 Co 0.0000 0.0000 0.4067  1 Co 2.27
3 Ni 0.0000 0.2971 0.5000  8 Ni 2.39-2.53
4 Ni 0.0000 0.5000 0.0000  8 Ni 2.39, 2 Co 2.55
5 Ni 0.0020 0.5010 0.3447  8 Ni 2.39-2.53, 1 Co 2.59

Results
Crystal system = trigonal
Formation energy = -0.18 eV/atom
Energy = -6.118 eV per atom



(8)
First-principles (PBE) data for a geometry-optimized V2Au2N structure, as listed in the Alexandria database.

Lattice parameters (Å, degrees): 3.3051 3.3051 14.0321 90.00 90.00 90.00
With the nearest neighbours (Å) after each atom.
Space group I4/mmm (No. 139)
Inequivalent atoms, fractional coordinates:
1 V 0.0000 0.5000 0.2500  4 V 2.34
2 Au 0.0000 0.0000 0.0983  4 V 2.70, 4 N 2.71, 1 Au 2.76
3 N 0.0000 0.0000 0.5000  8 Au 2.71

Results
Crystal system = tetragonal
Offset from the most stable computed form = 42.6 meV/atom
Energy = -5.550 eV per atom
Uncorrected formation energy = 1.074 eV per atom



Q: Which DOS(E_F) values were calculated for the entries above? A: 0.662 0.893 0.024 1.499 0.098 0.386 1.297 0.911, in states/eV per atom.